VASP calculation (PBE with a Hubbard U) on an optimized crystal structure of FeSbF2.

Lattice parameters (Å, degrees): 6.2211 6.2211 6.2211 90.00 90.00 90.00
Closest atoms and distances in Å follow each position.
Element x y z (fractional)
Fe 0.0000 0.0000 0.0000  8 F 2.69
Fe 0.0000 0.5000 0.5000  8 F 2.69
Fe 0.5000 0.0000 0.5000  8 F 2.69
Fe 0.5000 0.5000 0.0000  8 F 2.69
Sb 0.0000 0.0000 0.5000  8 F 2.69
Sb 0.0000 0.5000 0.0000  8 F 2.69
Sb 0.5000 0.0000 0.0000  8 F 2.69
Sb 0.5000 0.5000 0.5000  8 F 2.69
F 0.2500 0.2500 0.2500  4 Fe 2.69, 4 Sb 2.69
F 0.2500 0.2500 0.7500  4 Fe 2.69, 4 Sb 2.69
F 0.2500 0.7500 0.2500  4 Fe 2.69, 4 Sb 2.69
F 0.2500 0.7500 0.7500  4 Fe 2.69, 4 Sb 2.69
F 0.7500 0.2500 0.2500  4 Fe 2.69, 4 Sb 2.69
F 0.7500 0.2500 0.7500  4 Fe 2.69, 4 Sb 2.69
F 0.7500 0.7500 0.2500  4 Fe 2.69, 4 Sb 2.69
F 0.7500 0.7500 0.7500  4 Fe 2.69, 4 Sb 2.69

Calculated values
symmetry = Fm-3m, No. 225
DOS at the Fermi energy = 0.057 states/eV per atom
excess energy over the best structure of this formula in the dataset = 627 meV per atom
E = -4.109 eV/atom
crystal system = cubic